# PrYAlTe3 (PBE, relaxed)
# * electronic total energy: -5.026 eV/atom
# * density: 6.17 g cm⁻³
# * calculated volume: 172.2 Å³/f.u.
data_PrYAlTe3
_chemical_formula_sum 'Pr4 Y4 Al4 Te12'
_symmetry_space_group_name_H-M 'C m c m'
_symmetry_Int_Tables_number 63
_symmetry_space_group_name_Hall '-C 2c 2'
_cell_length_a 4.204
_cell_length_b 15.549
_cell_length_c 10.534
_cell_angle_alpha 90.00
_cell_angle_beta 90.00
_cell_angle_gamma 90.00
loop_
_atom_site_label
_atom_site_type_symbol
_atom_site_fract_x
_atom_site_fract_y
_atom_site_fract_z
Pr1 Pr 0.000 0.221 0.250
Y1 Y 0.000 0.000 0.000
Al1 Al 0.000 0.476 0.750
Te1 Te 0.000 0.117 0.750
Te2 Te 0.000 0.351 0.543